(1)
The following is a PBE calculation of a relaxed BaPaO crystal, from Alexandria via LeMat-Bulk.

Values from the calculation:
The calculation puts the total energy at -6.430 eV/atom. The raw formation energy is -22.387 kcal/mol of atoms. The density of states at the Fermi level comes out at 9.74 states/eV/cell.

The structure in POSCAR format:
```
BaPaO
1.0
-1.302 -2.558 -1.950
3.425 0.552 0.076
1.184 -8.824 10.785
Pa O Ba
2 2 2
direct
0.281 0.562 0.114
0.281 0.562 0.886
0.275 0.549 0.500
0.615 0.229 0.000
0.608 0.216 0.375
0.608 0.216 0.625
```

(2)
The following is a PBE calculation of a relaxed Ba2PaO4 crystal, from Alexandria via LeMat-Bulk.

Values from the calculation:
The calculation puts the total energy at -7.796 eV/atom. The raw formation energy is -70.499 kcal/mol of atoms. The density of states at the Fermi level comes out at 1.22 states/eV/cell.

The structure in POSCAR format:
```
Ba2PaO4
1.0
-1.789 -2.891 -1.520
-2.046 -1.927 6.074
-8.840 6.028 -1.065
O Pa Ba
8 2 4
direct
0.500 0.679 0.062
0.000 0.858 0.322
0.500 0.821 0.562
0.500 0.179 0.438
0.500 0.321 0.938
0.000 0.358 0.178
0.000 0.142 0.678
0.000 0.642 0.822
0.000 0.000 0.500
0.000 0.500 0.000
0.500 0.947 0.827
0.500 0.053 0.173
0.500 0.447 0.673
0.500 0.553 0.327
```

(3)
The following is a PBE calculation of a relaxed BaPaO3 crystal, from Alexandria via LeMat-Bulk.

Values from the calculation:
The calculation puts the total energy at -8.409 eV/atom. The raw formation energy is -72.651 kcal/mol of atoms. The density of states at the Fermi level comes out at 2.26 states/eV/cell.

The structure in POSCAR format:
```
BaPaO3
1.0
4.508 0.000 0.000
0.000 4.508 0.000
0.000 0.000 4.508
O Ba Pa
3 1 1
direct
0.000 0.500 0.000
0.000 0.000 0.500
0.500 0.000 0.000
0.500 0.500 0.500
0.000 0.000 0.000
```

(4)
The following is a PBE calculation of a relaxed BaPa3O8 crystal, from Alexandria via LeMat-Bulk.

Values from the calculation:
The calculation puts the total energy at -9.134 eV/atom. The raw formation energy is -75.978 kcal/mol of atoms. The density of states at the Fermi level comes out at 7.11 states/eV/cell.

The structure in POSCAR format:
```
BaPa3O8
1.0
6.264 0.000 3.382
2.220 5.858 3.382
-0.165 -0.114 7.798
O Pa Ba
8 3 1
direct
0.662 0.253 0.832
0.281 0.281 0.158
0.253 0.253 0.832
0.747 0.338 0.168
0.338 0.747 0.168
0.747 0.747 0.168
0.253 0.662 0.832
0.719 0.719 0.842
0.000 0.500 0.000
0.500 0.000 0.000
0.500 0.500 0.000
0.500 0.500 0.500
```

(5)
The following is a PBE calculation of a relaxed Ba2Pa3O10 crystal, from Alexandria via LeMat-Bulk.

Values from the calculation:
The calculation puts the total energy at -8.695 eV/atom. The raw formation energy is -74.588 kcal/mol of atoms. The density of states at the Fermi level comes out at 8.90 states/eV/cell.

The structure in POSCAR format:
```
Ba2Pa3O10
1.0
6.536 0.000 -2.127
-0.999 7.702 -3.070
-0.164 0.099 10.601
O Pa Ba
20 6 4
direct
0.802 0.500 0.000
0.613 0.511 0.711
0.387 0.489 0.289
0.902 0.489 0.289
0.862 0.044 0.224
0.756 0.712 0.511
0.513 0.172 0.025
0.136 0.761 0.271
0.363 0.044 0.224
0.021 0.178 0.041
0.098 0.511 0.711
0.637 0.956 0.776
0.500 0.000 0.500
0.979 0.822 0.959
0.000 0.000 0.500
0.244 0.288 0.489
0.138 0.956 0.776
0.864 0.239 0.729
0.198 0.500 0.000
0.487 0.828 0.975
0.084 0.477 0.167
0.815 0.969 0.629
0.746 0.000 0.000
0.916 0.523 0.833
0.254 0.000 0.000
0.185 0.031 0.371
0.302 0.675 0.604
0.610 0.712 0.220
0.390 0.288 0.780
0.698 0.325 0.396
```

(6)
The following is a PBE calculation of a relaxed BaPa2O6 crystal, from Alexandria via LeMat-Bulk.

Values from the calculation:
The calculation puts the total energy at -8.937 eV/atom. The raw formation energy is -76.275 kcal/mol of atoms. The density of states at the Fermi level comes out at 0.00 states/eV/cell.

The structure in POSCAR format:
```
BaPa2O6
1.0
7.945 0.000 0.000
3.972 6.880 0.000
3.972 2.293 6.487
Ba O Pa
2 12 4
direct
0.750 0.750 0.750
0.500 0.500 0.500
0.796 0.204 0.796
0.204 0.796 0.796
0.796 0.796 0.204
0.454 0.046 0.046
0.204 0.796 0.204
0.046 0.454 0.454
0.454 0.046 0.454
0.454 0.454 0.046
0.204 0.204 0.796
0.796 0.204 0.204
0.046 0.046 0.454
0.046 0.454 0.046
0.125 0.125 0.625
0.125 0.625 0.125
0.625 0.125 0.125
0.125 0.125 0.125
```

(7)
The following is a PBE calculation of a relaxed Ba3Pa5O12 crystal, from Alexandria via LeMat-Bulk.

Values from the calculation:
The calculation puts the total energy at -8.754 eV/atom. The raw formation energy is -71.871 kcal/mol of atoms. The density of states at the Fermi level comes out at 48.20 states/eV/cell.

The structure in POSCAR format:
```
Ba3Pa5O12
1.0
-5.537 -4.522 10.329
-0.520 -8.603 -9.138
12.004 2.704 2.526
Pa O Ba
20 48 12
direct
0.875 0.250 0.625
0.000 0.500 0.500
0.375 0.125 0.750
0.750 0.125 0.875
0.250 0.875 0.125
0.625 0.875 0.250
0.500 0.000 0.000
0.875 0.625 0.750
0.625 0.750 0.875
0.125 0.750 0.375
0.500 0.500 0.000
0.375 0.250 0.125
0.250 0.375 0.625
0.000 0.500 0.000
0.500 0.000 0.500
0.000 0.000 0.000
0.000 0.000 0.500
0.500 0.500 0.500
0.125 0.375 0.250
0.750 0.625 0.375
0.193 0.675 0.076
0.576 0.883 0.402
0.825 0.902 0.019
0.807 0.325 0.924
0.693 0.576 0.175
0.424 0.307 0.325
0.175 0.098 0.981
0.693 0.117 0.019
0.519 0.193 0.117
0.981 0.383 0.307
0.617 0.598 0.924
0.675 0.481 0.598
0.117 0.693 0.519
0.902 0.076 0.883
0.076 0.902 0.383
0.307 0.424 0.825
0.883 0.307 0.481
0.481 0.675 0.098
0.175 0.076 0.693
0.402 0.019 0.325
0.076 0.175 0.193
0.098 0.175 0.481
0.981 0.598 0.175
0.383 0.981 0.807
0.325 0.807 0.424
0.481 0.807 0.883
0.924 0.098 0.617
0.519 0.325 0.902
0.307 0.883 0.981
0.402 0.383 0.576
0.675 0.193 0.576
0.098 0.924 0.117
0.019 0.402 0.825
0.325 0.519 0.402
0.424 0.117 0.598
0.825 0.924 0.307
0.019 0.617 0.693
0.807 0.481 0.383
0.883 0.576 0.902
0.576 0.693 0.675
0.902 0.825 0.519
0.383 0.402 0.076
0.617 0.019 0.193
0.117 0.424 0.098
0.193 0.519 0.617
0.598 0.617 0.424
0.598 0.981 0.675
0.924 0.825 0.807
0.250 0.625 0.875
0.250 0.125 0.375
0.750 0.875 0.625
0.375 0.750 0.625
0.625 0.250 0.375
0.875 0.125 0.250
0.125 0.875 0.750
0.125 0.250 0.875
0.625 0.375 0.750
0.375 0.625 0.250
0.875 0.750 0.125
0.750 0.375 0.125
```

(8)
The following is a PBE calculation of a relaxed BaPa3O9 crystal, from Alexandria via LeMat-Bulk.

Values from the calculation:
The calculation puts the total energy at -8.979 eV/atom. The raw formation energy is -73.954 kcal/mol of atoms. The density of states at the Fermi level comes out at 4.98 states/eV/cell.

The structure in POSCAR format:
```
BaPa3O9
1.0
-1.964 3.709 0.748
-6.522 -2.635 -4.060
0.602 -1.293 7.996
Ba Pa O
1 3 9
direct
0.000 0.000 0.000
0.500 0.000 0.500
0.500 0.500 0.500
0.500 0.500 0.000
0.000 0.500 0.500
0.500 0.196 0.392
0.500 0.804 0.608
0.500 0.804 0.196
0.000 0.500 0.000
0.500 0.196 0.804
0.000 0.000 0.500
0.500 0.392 0.196
0.500 0.608 0.804
```

Which value of raw formation energy does entry 1 give?
-22.387 kcal/mol of atoms